A relaxed structure of AcLaAg. Source: Alexandria via LeMat-Bulk, functional PBE.

a = 4.351 Å, b = 5.526 Å, c = 5.526 Å
α = 65.07°, β = 66.81°, γ = 66.81°
Atoms (fractional coordinates):
Ac 0.216 0.284 0.284
La 0.781 0.719 0.719
Ag 0.004 0.996 0.996

## Properties
Energy relative to the lowest polymorph listed for this composition (meV/atom): 213
Calculated formation energy (eV per atom): 0.061

***

A relaxed structure of TcAsAu2. Source: Alexandria via LeMat-Bulk, functional PBE.

a = 4.810 Å, b = 2.833 Å, c = 5.381 Å
α = 70.85°, β = 90.00°, γ = 90.00°
Each line ends with the local moment (μB).
Atoms (fractional coordinates):
As 0.500 0.750 0.750  -0.02
Au 0.000 0.837 0.994  0.01
Au 0.000 0.663 0.506  0.01
Tc 0.500 0.250 0.250  0.72

## Properties
Calculated formation energy (eV per atom): 0.396

***

A relaxed structure of Ce6SiS2Br3. Source: Alexandria via LeMat-Bulk, functional PBE.

a = 7.084 Å, b = 7.084 Å, c = 7.485 Å
α = 99.08°, β = 99.08°, γ = 120.08°
Each line ends with the local moment (μB).
Atoms (fractional coordinates):
Ce 0.926 0.587 0.780  0.75
Ce 0.731 0.731 0.216  0.73
Ce 0.074 0.413 0.220  0.75
Ce 0.587 0.926 0.780  0.75
Ce 0.269 0.269 0.784  0.73
Ce 0.413 0.074 0.220  0.75
Si 0.000 0.000 0.000  -0.02
S 0.332 0.668 0.000  -0.02
S 0.668 0.332 0.000  -0.02
Br 0.161 0.839 0.500  -0.01
Br 0.839 0.161 0.500  -0.01
Br 0.500 0.500 0.500  -0.01

## Properties
Formation energy (no corrections) (kJ/mol of atoms): -134.1

***

A relaxed structure of Th2BiOs. Source: Alexandria via LeMat-Bulk, functional PBE.

a = 3.424 Å, b = 3.424 Å, c = 9.002 Å
α = 90.00°, β = 90.00°, γ = 90.00°
Atoms (fractional coordinates):
Os 0.500 0.500 0.000
Bi 0.500 0.500 0.500
Th 0.000 0.000 0.793
Th 0.000 0.000 0.207

## Properties
Energy relative to the lowest polymorph listed for this composition (meV/atom): 86
Calculated formation energy (eV per atom): -0.367

***

A relaxed structure of CdAg2Br. Source: Alexandria via LeMat-Bulk, functional PBE.

a = 8.866 Å, b = 8.866 Å, c = 8.866 Å
α = 22.43°, β = 22.43°, γ = 22.43°
Atoms (fractional coordinates):
Br 0.500 0.500 0.500
Ag 0.999 0.999 0.999
Ag 0.253 0.253 0.253
Cd 0.748 0.748 0.748

## Properties
Energy relative to the lowest polymorph listed for this composition (meV/atom): 46
Formation energy (no corrections) (kJ/mol of atoms): -2.0

***

A relaxed structure of TaAl3. Source: Alexandria via LeMat-Bulk, functional PBE.

a = 3.895 Å, b = 3.895 Å, c = 8.856 Å
α = 102.70°, β = 102.70°, γ = 90.00°
Atoms (fractional coordinates):
Al 0.378 0.378 0.757
Al 0.000 0.500 0.000
Al 0.622 0.622 0.243
Al 0.250 0.750 0.500
Al 0.750 0.250 0.500
Al 0.500 0.000 0.000
Ta 0.124 0.124 0.248
Ta 0.876 0.876 0.752

## Properties
Calculated formation energy (eV per atom): -0.240